Compound: ZrPdI
Source: Alexandria
Functional: PBE
Structure: relaxed

Final energy, eV/cell: -32.1
SG: P-6m2
Uncorrected formation energy, eV per atom: -0.25

abc: 3.6757 3.6757 12.0735
angles: 90.00 90.00 120.00
Last column: nearest neighbours and their distance in Å.
Sites, in units of the cell vectors:
Zr 0.0000 0.0000 0.1476  3 Pd 2.77, 3 I 3.01
Zr 0.0000 0.0000 0.8524  3 Pd 2.77, 3 I 3.01
Pd 0.0000 0.0000 0.5000  6 I 3.00
Pd 0.3333 0.6667 0.0000  6 Zr 2.77
I 0.3333 0.6667 0.3244  3 Pd 3.00, 3 Zr 3.01
I 0.3333 0.6667 0.6756  3 Pd 3.00, 3 Zr 3.01



Compound: K2TiVRh
Source: Alexandria
Functional: PBE
Structure: relaxed

Final energy, eV/cell: -19.1
SG: P4/mmm

abc: 6.1977 6.1977 4.5692
angles: 90.00 90.00 90.00
Last column: nearest neighbours and their distance in Å.
Sites, in units of the cell vectors:
K 0.0000 0.5000 0.0000  2 Rh 3.10
K 0.5000 0.0000 0.0000  2 Rh 3.10
Ti 0.0000 0.0000 0.5000  2 Rh 2.28
V 0.5000 0.5000 0.5000  8 K 3.85
Rh 0.0000 0.0000 0.0000  2 Ti 2.28